# 1
TaNiB2 after structural relaxation. Source: Alexandria, functional PBE.

Unit cell a=3.663 b=3.663 c=7.131 alpha=75.12 beta=75.12 gamma=90.00
Atoms (fractional coordinates):
Ta 0.000 0.000 0.000
Ta 0.750 0.250 0.500
Ni 0.250 0.750 0.500
Ni 0.500 0.500 0.000
B 0.875 0.623 0.750
B 0.373 0.125 0.250
B 0.377 0.625 0.250
B 0.375 0.627 0.750

Properties
For the raw total energy, the calculation gives -7.633 eV per atom. The calculation puts the energy above the lowest structure with this stoichiometry at 750 meV per atom. For the volume, the calculation gives 89.1 Å³/cell. For the calculated formation energy, the calculation gives 0.455 eV/f.u.

---

# 2
TbNiB4 after structural relaxation. Source: Alexandria, functional PBE.

Unit cell a=6.836 b=6.836 c=6.836 alpha=112.89 beta=112.89 gamma=102.83
Atoms (fractional coordinates):
B 0.724 0.111 0.836
B 0.111 0.724 0.836
B 0.581 0.114 0.000
B 0.276 0.111 0.387
B 0.276 0.889 0.164
B 0.111 0.276 0.387
B 0.886 0.886 0.468
B 0.581 0.581 0.468
B 0.889 0.724 0.613
B 0.419 0.419 0.532
B 0.114 0.581 0.000
B 0.114 0.114 0.532
B 0.724 0.889 0.613
B 0.889 0.276 0.164
B 0.886 0.419 0.000
B 0.419 0.886 0.000
Tb 0.796 0.796 0.000
Tb 0.750 0.250 0.500
Tb 0.250 0.750 0.500
Tb 0.204 0.204 0.000
Ni 0.729 0.500 0.229
Ni 0.500 0.729 0.229
Ni 0.500 0.271 0.771
Ni 0.271 0.500 0.771

Properties
For the raw total energy, the calculation gives -6.767 eV per atom. The calculation puts the energy above the lowest structure with this stoichiometry at 0 meV per atom. For the volume, the calculation gives 243.5 Å³/cell. For the calculated formation energy, the calculation gives -3.482 eV/f.u.

---

# 3
TbNi4B after structural relaxation. Source: Alexandria, functional PBE.

Unit cell a=4.987 b=4.987 c=6.964 alpha=90.00 beta=90.00 gamma=120.00
Atoms (fractional coordinates):
Ni 0.500 0.000 0.707
Ni 0.500 0.500 0.707
Ni 0.500 0.000 0.293
Ni 0.500 0.500 0.293
Ni 0.000 0.500 0.707
Ni 0.667 0.333 0.000
Ni 0.333 0.667 0.000
Ni 0.000 0.500 0.293
B 0.333 0.667 0.500
B 0.667 0.333 0.500
Tb 0.000 0.000 0.000
Tb 0.000 0.000 0.500

Properties
For the raw total energy, the calculation gives -6.229 eV per atom. The calculation puts the energy above the lowest structure with this stoichiometry at 0 meV per atom. For the volume, the calculation gives 150.0 Å³/cell. For the calculated formation energy, the calculation gives -2.939 eV/f.u.

---

# 4
TbNi8B4 after structural relaxation. Source: Alexandria, functional PBE.

Unit cell a=4.473 b=5.834 c=5.834 alpha=81.55 beta=67.46 gamma=67.46
Atoms (fractional coordinates):
Ni 0.342 0.658 0.658
Ni 0.500 0.772 0.228
Ni 0.728 0.772 0.772
Ni 0.000 0.658 0.342
Ni 0.272 0.228 0.228
Ni 0.658 0.342 0.342
Ni 0.000 0.342 0.658
Ni 0.500 0.228 0.772
B 0.500 0.000 0.500
B 0.500 0.500 0.000
B 0.000 0.500 0.000
B 0.000 0.000 0.500
Tb 0.000 0.000 0.000

Properties
For the raw total energy, the calculation gives -6.134 eV per atom. For the volume, the calculation gives 129.9 Å³/cell. For the calculated formation energy, the calculation gives -2.148 eV/f.u.

---

# 5
TbNi7B2 after structural relaxation. Source: Alexandria, functional PBE.

Unit cell a=3.986 b=5.869 c=5.869 alpha=114.50 beta=90.00 gamma=90.00
Atoms (fractional coordinates):
Ni 0.500 0.334 0.061
Ni 0.500 0.500 0.500
Ni 0.500 0.939 0.666
Ni 0.500 0.666 0.939
Ni 0.000 0.665 0.335
Ni 0.500 0.061 0.334
Ni 0.000 0.335 0.665
Tb 0.000 0.000 0.000
B 0.500 0.293 0.707
B 0.500 0.707 0.293

Properties
For the raw total energy, the calculation gives -5.953 eV per atom. For the volume, the calculation gives 124.9 Å³/cell. For the calculated formation energy, the calculation gives -1.075 eV/f.u.

---

# 6
TbNi2B after structural relaxation. Source: Alexandria, functional PBE.

Unit cell a=3.429 b=5.186 c=6.406 alpha=90.00 beta=90.00 gamma=109.34
Atoms (fractional coordinates):
Ni 0.329 0.657 0.936
Ni 0.671 0.343 0.064
Ni 0.671 0.343 0.436
Ni 0.329 0.657 0.564
Tb 0.056 0.112 0.750
Tb 0.944 0.888 0.250
B 0.223 0.447 0.250
B 0.777 0.553 0.750

Properties
For the raw total energy, the calculation gives -6.129 eV per atom. For the volume, the calculation gives 107.5 Å³/cell. For the calculated formation energy, the calculation gives -1.646 eV/f.u.

---

Q: Among the records above, which one has the highest raw total energy?
A: TbNi7B2